No. 1
A plane-wave DFT calculation with GGA-PBE was carried out for a relaxed LiIn2Te crystal.

Cell and atoms, written as POSCAR:
```
LiIn2Te
1.0
2.985 -5.912 0.000
2.985 5.912 0.000
-2.852 0.000 3.020
Li In Te
1 2 1
Cartesian
0.000 0.000 0.000
1.493 2.956 0.000
1.493 -2.956 0.000
2.985 0.000 0.000
```

As for the formation energy from raw total energies: -0.305 eV/atom. As for the space group: No. 12.

=====

No. 2
A plane-wave DFT calculation with GGA-PBE was carried out for a relaxed Li2InTe crystal.

Cell and atoms, written as POSCAR:
```
Li2InTe
1.0
4.662 0.000 0.000
0.000 4.662 0.000
0.000 0.000 4.143
Li In Te
2 1 1
Cartesian
0.000 2.331 0.000
2.331 0.000 0.000
0.000 0.000 2.072
2.331 2.331 2.072
```

As for the formation energy from raw total energies: -0.527 eV/atom. As for the space group: No. 123. The calculation puts the energy above the lowest structure with this stoichiometry at 1 meV per atom.

=====

No. 3
A plane-wave DFT calculation with GGA-PBE was carried out for a relaxed LiIn2Te2 crystal.

Cell and atoms, written as POSCAR:
```
LiIn2Te2
1.0
-2.919 2.919 4.612
2.919 -2.919 4.612
2.919 2.919 -4.612
Li In Te
1 2 2
Cartesian
0.000 0.000 0.000
0.000 0.000 3.175
0.000 0.000 6.049
2.919 0.000 2.306
0.000 2.919 2.306
```

As for the formation energy from raw total energies: -0.285 eV/atom. As for the space group: No. 139. The calculation puts the energy above the lowest structure with this stoichiometry at 33 meV per atom.